1.
This record from Alexandria describes an optimized crystal structure of PaGa4Rh. The functional is PBE-GGA.

Values from the calculation:
Electronic total energy (eV/cell): -63.6

POSCAR file:
```
PaGa4Rh
1.0
7.491 0.000 0.000
0.000 4.127 0.000
0.000 0.000 7.006
Pa Ga Rh
2 8 2
Cartesian
1.873 0.000 1.049 Pa
5.618 0.000 5.957 Pa
0.000 0.000 3.503 Ga
0.440 2.064 5.806 Ga
1.873 2.064 3.246 Ga
3.306 2.064 5.806 Ga
3.746 0.000 3.503 Ga
4.185 2.064 1.200 Ga
5.618 2.064 3.760 Ga
7.052 2.064 1.200 Ga
1.873 0.000 5.177 Rh
5.618 0.000 1.829 Rh
```


2.
This record from Alexandria describes an optimized crystal structure of In2AgSe. The functional is PBE-GGA.

Values from the calculation:
Electronic total energy (eV/cell): -12.4
Uncorrected formation energy (eV/atom): -0.15

POSCAR file:
```
In2AgSe
1.0
3.681 0.000 0.000
0.000 3.681 0.000
0.000 0.000 7.979
In Ag Se
2 1 1
Cartesian
0.000 0.000 0.000 In
1.840 1.840 3.965 In
0.000 0.000 5.212 Ag
1.840 1.840 1.266 Se
```


3.
This record from Alexandria describes an optimized crystal structure of AcSi3Ni5. The functional is PBE-GGA.

Values from the calculation:
Electronic total energy (eV/cell): -110.4
Uncorrected formation energy (eV/atom): -0.66

POSCAR file:
```
AcSi3Ni5
1.0
1.877 -5.944 0.000
1.877 5.944 0.000
0.000 0.000 11.819
Ac Si Ni
2 6 10
Cartesian
1.877 3.976 8.864 Ac
1.877 -3.976 2.955 Ac
1.877 4.650 2.955 Si
1.877 1.391 0.389 Si
1.877 1.391 5.521 Si
1.877 -1.391 6.298 Si
1.877 -1.391 11.430 Si
1.877 -4.650 8.864 Si
0.000 0.000 0.000 Ni
0.000 0.000 5.910 Ni
1.877 3.618 0.775 Ni
1.877 3.618 5.134 Ni
1.877 0.584 7.634 Ni
1.877 0.584 10.095 Ni
1.877 -0.584 1.724 Ni
1.877 -0.584 4.185 Ni
1.877 -3.618 6.685 Ni
1.877 -3.618 11.044 Ni
```


4.
This record from Alexandria describes an optimized crystal structure of Sm2MgAg5. The functional is PBE-GGA.

Values from the calculation:
Electronic total energy (eV/cell): -26.8

POSCAR file:
```
Sm2MgAg5
1.0
-2.525 2.525 6.896
2.525 -2.525 6.896
2.525 2.525 -6.896
Sm Mg Ag
2 1 5
Cartesian
0.000 0.000 3.314 Sm
0.000 0.000 10.479 Sm
0.000 0.000 6.896 Mg
0.000 0.000 0.000 Ag
2.525 0.000 1.489 Ag
2.525 0.000 5.407 Ag
0.000 2.525 1.489 Ag
0.000 2.525 5.407 Ag
```


5.
This record from Alexandria describes an optimized crystal structure of Mn2CrSe. The functional is PBE-GGA.

Values from the calculation:
Electronic total energy (eV/cell): -31.1
Uncorrected formation energy (eV/atom): 0.08

POSCAR file:
```
Mn2CrSe
1.0
3.323 0.000 0.000
0.000 3.323 0.000
0.000 0.000 5.322
Mn Cr Se
2 1 1
Cartesian
0.000 0.000 1.291 Mn
0.000 0.000 4.031 Mn
1.661 1.661 0.000 Cr
1.661 1.661 2.661 Se
```


6.
This record from Alexandria describes an optimized crystal structure of Nd7Ni3. The functional is PBE-GGA.

Values from the calculation:
Electronic total energy (eV/cell): -105.4

POSCAR file:
```
Nd7Ni3
1.0
9.930 0.000 0.000
-4.965 8.599 0.000
0.000 0.000 6.369
Nd Ni
14 6
Cartesian
-1.904 4.634 0.000 Nd
0.000 2.164 1.980 Nd
-3.091 7.517 1.980 Nd
1.874 1.082 5.164 Nd
0.000 5.733 3.347 Nd
1.904 4.634 0.000 Nd
0.000 7.931 0.000 Nd
4.965 0.668 3.185 Nd
3.061 3.966 3.185 Nd
4.965 2.866 0.162 Nd
3.091 7.517 1.980 Nd
8.055 1.082 5.164 Nd
4.965 6.435 5.164 Nd
6.868 3.966 3.185 Nd
0.000 3.247 4.805 Ni
-2.153 6.976 4.805 Ni
2.812 1.623 1.621 Ni
2.153 6.976 4.805 Ni
7.118 1.623 1.621 Ni
4.965 5.352 1.621 Ni
```


7.
This record from Alexandria describes an optimized crystal structure of HfMgPa2N5. The functional is PBE-GGA.

Values from the calculation:
Electronic total energy (eV/cell): -169.6
Uncorrected formation energy (eV/atom): -1.40

POSCAR file:
```
HfMgPa2N5
1.0
1.693 -6.782 0.000
1.693 6.782 0.000
0.000 0.000 10.315
Hf Mg Pa N
2 2 4 10
Cartesian
1.693 3.843 5.158 Hf
1.693 -3.843 0.000 Hf
1.693 0.266 10.173 Mg
1.693 -0.266 5.015 Mg
1.693 5.114 2.062 Pa
1.693 5.058 7.959 Pa
1.693 -5.058 2.801 Pa
1.693 -5.114 7.220 Pa
1.693 5.862 5.897 N
1.693 2.959 1.620 N
1.693 2.726 8.877 N
1.693 1.777 5.591 N
1.693 0.114 2.949 N
1.693 -0.114 8.106 N
1.693 -1.777 0.433 N
1.693 -2.726 3.719 N
1.693 -2.959 6.777 N
1.693 -5.862 0.739 N
```


8.
This record from Alexandria describes an optimized crystal structure of YSi. The functional is PBE-GGA.

Values from the calculation:
Electronic total energy (eV/cell): -25.9
Uncorrected formation energy (eV/atom): -0.53

POSCAR file:
```
YSi
1.0
-1.880 4.211 2.898
1.880 -4.211 2.898
1.880 4.211 -2.898
Y Si
2 2
Cartesian
0.000 1.778 0.000 Y
0.000 6.644 0.000 Y
0.000 0.000 2.844 Si
0.000 4.211 1.551 Si
```


Number 1: N(E_F) 0.59 states/eV/atom. Number 2: N(E_F) 0.31 states/eV/atom. Number 3: N(E_F) 0.52 states/eV/atom. Number 4: N(E_F) 0.61 states/eV/atom. Number 5: N(E_F) 0.48 states/eV/atom. Number 6: N(E_F) 1.17 states/eV/atom. Number 7: N(E_F) 0.28 states/eV/atom. Number 8: N(E_F) 0.84 states/eV/atom.